The following is a DFT calculation (PBE+U) of a geometry-optimized MgNiSeO4 structure.

Values from the calculation:
Uncorrected energy: -72.7 eV/cell

a = 6.685 Å, b = 6.020 Å, c = 6.020 Å
α = 58.72°, β = 56.27°, γ = 56.27°
Last column: magnetic moment on the atom in μB.
Fractional coordinates of all 14 atoms:
1 Mg 0.000 0.000 0.000  0.00
2 Mg 0.000 0.500 0.500  0.00
3 O 0.196 0.760 0.260  0.03
4 O 0.783 0.760 0.260  0.03
5 O 0.273 0.238 0.216  0.05
6 O 0.804 0.240 0.740  0.03
7 O 0.727 0.762 0.784  0.05
8 O 0.727 0.284 0.262  0.05
9 O 0.217 0.240 0.740  0.03
10 O 0.273 0.716 0.738  0.05
11 Ni 0.500 0.000 0.500  1.77
12 Ni 0.000 0.000 0.500  1.77
13 Se 0.590 0.660 0.160  0.02
14 Se 0.410 0.340 0.840  0.02